This record from Alexandria via LeMat-Bulk describes an optimized crystal structure of LiAlN. The functional is PBE.

## Properties
Fermi-level density of states in states/eV/cell: 1.6
Formation energy (no corrections) in kJ/mol of atoms: -57.2
Energy relative to the lowest polymorph listed for this composition in eV per atom: 0.084
E in eV per atom: -5.254

The structure in POSCAR format:
```
LiAlN
1.0
3.679 0.000 0.000
0.000 3.679 0.000
0.000 0.000 6.842
Li Al N
2 2 2
Direct
0.250 0.250 0.120 Li
0.750 0.750 0.880 Li
0.250 0.750 0.500 Al
0.750 0.250 0.500 Al
0.250 0.250 0.422 N
0.750 0.750 0.578 N
```

---

This record from Alexandria via LeMat-Bulk describes an optimized crystal structure of La2Be3AlIr4. The functional is PBE.

## Properties
Fermi-level density of states in states/eV/cell: 4.0
Formation energy in meV per atom: -662
E in eV per atom: -6.684

The structure in POSCAR format:
```
La2Be3AlIr4
1.0
4.121 0.000 0.000
0.000 4.121 0.000
0.000 0.000 9.896
La Be Al Ir
2 3 1 4
Direct
0.000 0.500 0.234 La
0.500 0.000 0.766 La
0.000 0.500 0.892 Be
0.500 0.000 0.108 Be
0.500 0.500 0.500 Be
0.000 0.000 0.500 Al
0.000 0.000 0.000 Ir
0.000 0.500 0.637 Ir
0.500 0.000 0.363 Ir
0.500 0.500 0.000 Ir
```

---

This record from Alexandria via LeMat-Bulk describes an optimized crystal structure of HoCdSb. The functional is PBE.

## Properties
Fermi-level density of states in states/eV/cell: 2.9
Formation energy (no corrections) in kJ/mol of atoms: -42.3
E in eV per atom: -3.643

The structure in POSCAR format:
```
HoCdSb
1.0
3.533 0.000 0.000
1.762 5.546 0.000
0.004 0.484 8.172
Ho Cd Sb
2 2 2
Direct
0.074 0.352 0.290 Ho
0.926 0.648 0.710 Ho
0.361 0.777 0.032 Cd
0.639 0.223 0.968 Cd
0.353 0.796 0.390 Sb
0.647 0.204 0.610 Sb
```

---

This record from Alexandria via LeMat-Bulk describes an optimized crystal structure of HgSb2As. The functional is PBE.

## Properties
Fermi-level density of states in states/eV/cell: 2.1
Formation energy (no corrections) in kJ/mol of atoms: 28.9
Energy relative to the lowest polymorph listed for this composition in eV per atom: 0.268
E in eV per atom: -3.000

The structure in POSCAR format:
```
HgSb2As
1.0
3.395 -3.834 0.000
3.395 3.834 0.000
0.000 0.000 3.804
Hg Sb As
1 2 1
Direct
0.000 0.000 0.000 Hg
0.000 0.500 0.500 Sb
0.500 0.000 0.500 Sb
0.500 0.500 0.000 As
```

---

This record from Alexandria via LeMat-Bulk describes an optimized crystal structure of Sb2HSeCl. The functional is PBE.

## Properties
Fermi-level density of states in states/eV/cell: 3.8
E in eV per atom: -2.454

The structure in POSCAR format:
```
Sb2HSeCl
1.0
5.505 0.000 0.000
0.000 5.505 0.000
0.000 0.000 5.568
Sb H Se Cl
2 1 1 1
Direct
0.000 0.500 0.000 Sb
0.500 0.000 0.000 Sb
0.000 0.000 0.500 H
0.500 0.500 0.000 Se
0.500 0.500 0.500 Cl
```

---

This record from Alexandria via LeMat-Bulk describes an optimized crystal structure of LiZn3Ag7. The functional is PBE.

## Properties
Fermi-level density of states in states/eV/cell: 3.6
Formation energy in meV per atom: 56
E in eV per atom: -2.280

The structure in POSCAR format:
```
LiZn3Ag7
1.0
4.812 -4.844 0.000
4.812 4.844 0.000
-2.421 0.000 4.178
Li Zn Ag
1 3 7
Direct
0.000 0.000 0.000 Li
0.271 0.729 0.500 Zn
0.500 0.500 0.000 Zn
0.729 0.271 0.500 Zn
0.000 0.000 0.500 Ag
0.104 0.543 0.824 Ag
0.314 0.314 0.315 Ag
0.457 0.896 0.176 Ag
0.543 0.104 0.824 Ag
0.686 0.686 0.685 Ag
0.896 0.457 0.176 Ag
```

---

> Which value of E does entry 6 give?

-2.280 eV per atom

---

Repeat the first record exactly.
This record from Alexandria via LeMat-Bulk describes an optimized crystal structure of LiAlN. The functional is PBE.

## Properties
Fermi-level density of states in states/eV/cell: 1.6
Formation energy (no corrections) in kJ/mol of atoms: -57.2
Energy relative to the lowest polymorph listed for this composition in eV per atom: 0.084
E in eV per atom: -5.254

The structure in POSCAR format:
```
LiAlN
1.0
3.679 0.000 0.000
0.000 3.679 0.000
0.000 0.000 6.842
Li Al N
2 2 2
Direct
0.250 0.250 0.120 Li
0.750 0.750 0.880 Li
0.250 0.750 0.500 Al
0.750 0.250 0.500 Al
0.250 0.250 0.422 N
0.750 0.750 0.578 N
```